Compound: Fe2BWO
Source: Alexandria
Functional: PBE with a Hubbard U
Structure: optimized geometry

```
data_Fe2BWO
_chemical_formula_sum 'Fe2 B1 W1 O1'
_space_group_name_H-M_alt 'P 1'
_space_group_IT_number 1
_cell_length_a 5.199
_cell_length_b 3.757
_cell_length_c 5.199
_cell_angle_alpha 90.00
_cell_angle_beta 90.00
_cell_angle_gamma 90.00
loop_
_space_group_symop_operation_xyz
'x,y,z'
loop_
_atom_site_label
_atom_site_fract_x
_atom_site_fract_y
_atom_site_fract_z
W1 0.000 0.000 0.000
B1 0.500 0.500 0.500
O1 0.000 0.500 0.000
Fe1 0.000 0.000 0.500
Fe2 0.500 0.000 0.000
```

Summary:
The theoretical density comes out at 5.3 g/cm3. The total energy comes out at -22.87 eV/cell.